Below is a relaxed Ac2CeWO8 crystal, with properties calculated at the GGA+U level.

The calculated density is 7.38 g cm⁻³. Its total DFT energy (no corrections) is -95.9 eV per formula unit.

Lattice parameters (Å, degrees): 5.323 5.327 7.194 89.94 89.88 91.82
Fractional coordinates of all 12 atoms:
O  0.826  0.167  0.210
O  0.174  0.833  0.790
O  0.833  0.173  0.790
Ce  0.000  0.000  0.500
O  0.167  0.827  0.210
W  0.000  0.000  0.000
Ac  0.495  0.495  0.760
O  0.740  0.739  0.995
Ac  0.505  0.505  0.240
O  0.715  0.714  0.503
O  0.285  0.286  0.497
O  0.260  0.261  0.005